Entry 1:
The following is a DFT calculation (PBE-GGA) of H2PbO after structural relaxation.

Cell lengths 3.3510, 3.3510, 18.2376 Å; angles 90.00, 90.00, 90.00 degrees
Closest atoms and distances in Å follow each position.
Space group I4_1/amd (No. 141, origin choice 2)
Symmetry-distinct sites (fractional):
H (0.0000, 0.0000, 0.0000) [8 per cell]  2 H 1.68
Pb (0.0000, 0.2500, 0.8750) [4 per cell]  4 O 2.37, 4 H 2.43
O (0.0000, 0.2500, 0.3750) [4 per cell]  4 Pb 2.37

Properties
- Offset from the most stable computed form: 0 kJ/mol of formula units



Entry 2:
The following is a DFT calculation (PBE-GGA) of Rb2NbAuBr6 after structural relaxation.

Cell lengths 8.1363, 8.1363, 10.5138 Å; angles 90.00, 90.00, 90.00 degrees
Closest atoms and distances in Å follow each position.
Space group I4/mmm (No. 139)
Symmetry-distinct sites (fractional):
Rb (0.0000, 0.5000, 0.2500) [4 per cell]  12 Br 3.90-4.07
Nb (0.0000, 0.0000, 0.0000) [2 per cell]  6 Br 2.64-2.71
Au (0.0000, 0.0000, 0.5000) [2 per cell]  2 Br 2.55
Br (0.0000, 0.0000, 0.2576) [4 per cell]  1 Au 2.55, 1 Nb 2.71
Br (0.2292, 0.2292, 0.0000) [8 per cell]  1 Nb 2.64

Properties
- Formation energy from raw total energies: -944 meV per atom



Entry 3:
The following is a DFT calculation (PBE-GGA) of HgPb2O2F2 after structural relaxation.

Cell lengths 12.3786, 3.8136, 6.8620 Å; angles 90.00, 121.44, 90.00 degrees
Closest atoms and distances in Å follow each position.
Space group C2/m (No. 12)
Symmetry-distinct sites (fractional):
Hg (0.0000, 0.0000, 0.0000) [2 per cell]  2 O 2.05
Pb (0.2001, 0.0000, 0.7075) [4 per cell]  1 F 2.36, 3 O 2.40-2.61
O (0.1822, 0.0000, 0.0703) [4 per cell]  1 Hg 2.05
F (0.1342, 0.5000, 0.3678) [4 per cell]  1 Pb 2.36

Properties
- Formation energy from raw total energies: -1440 meV per atom



Entry 4:
The following is a DFT calculation (PBE-GGA) of Ca6Dy after structural relaxation.

Cell lengths 8.8922, 8.8922, 8.8922 Å; angles 90.00, 90.00, 90.00 degrees
Closest atoms and distances in Å follow each position.
Space group Im-3m (No. 229)
Symmetry-distinct sites (fractional):
Ca (0.0000, 0.2500, 0.5000) [12 per cell]  4 Ca 3.14
Dy (0.0000, 0.0000, 0.0000) [2 per cell]  24 Ca 4.97

Properties
- Energy of formation from the pure elements: 1209 meV/atom



Entry 5:
The following is a DFT calculation (PBE-GGA) of Cs2CdGaHg6 after structural relaxation.

Cell lengths 7.9927, 8.0013, 8.0104 Å; angles 90.22, 119.78, 119.90 degrees
Closest atoms and distances in Å follow each position.
Space group P-1 (No. 2)
Symmetry-distinct sites (fractional):
Cs (0.0009, 0.2796, 0.2801) [2 per cell]  12 Hg 3.97-4.09
Cd (0.5000, 0.5000, 0.0000) [1 per cell]  6 Hg 2.89-2.92
Ga (0.5000, 0.0000, 0.5000) [1 per cell]  6 Hg 2.76-2.80
Hg (0.0109, 0.7904, 0.2197) [2 per cell]  1 Ga 2.80, 1 Cd 2.92
Hg (0.4541, 0.2220, 0.2314) [2 per cell]  1 Ga 2.80, 1 Cd 2.90
Hg (0.4992, 0.7557, 0.2546) [2 per cell]  1 Ga 2.76, 1 Cd 2.89

Properties
- Energy of formation from the pure elements: -140 meV/atom



Entry 6:
The following is a DFT calculation (PBE-GGA) of Pm2HoCu after structural relaxation.

Cell lengths 3.6685, 3.6685, 29.8206 Å; angles 90.00, 90.00, 120.00 degrees
Closest atoms and distances in Å follow each position.
Space group R3m (No. 160, hexagonal axes)
Symmetry-distinct sites (fractional):
Pm (0.0000, 0.0000, 0.0000) [3 per cell]  3 Cu 2.96
Pm (0.0000, 0.0000, 0.1942) [3 per cell]  3 Cu 2.97
Ho (0.0000, 0.0000, 0.4300) [3 per cell]  6 Pm 3.58-3.60, 6 Ho 3.67
Cu (0.0000, 0.0000, 0.5973) [3 per cell]  6 Pm 2.96-2.97

Properties
- Energy of formation from the pure elements: 64 meV/atom
- Offset from the most stable computed form: 54 kJ/mol of formula units



Entry 7:
The following is a DFT calculation (PBE-GGA) of Sm2Sb3 after structural relaxation.

Cell lengths 11.6446, 4.2973, 8.0766 Å; angles 90.00, 133.88, 90.00 degrees
Closest atoms and distances in Å follow each position.
Space group C2/m (No. 12)
Symmetry-distinct sites (fractional):
Sm (0.2276, 0.0000, 0.2283) [4 per cell]  8 Sb 3.14-3.32
Sb (0.0000, 0.0000, 0.5000) [2 per cell]  4 Sm 3.14, 4 Sb 3.22
Sb (0.9999, 0.5000, 0.2026) [4 per cell]  3 Sb 3.22-3.27, 6 Sm 3.31-3.32

Properties
- Formation energy from raw total energies: -867 meV per atom



Entry 8:
The following is a DFT calculation (PBE-GGA) of CaSc2Cu9 after structural relaxation.

Cell lengths 5.0873, 5.0873, 24.3999 Å; angles 90.00, 90.00, 120.00 degrees
Closest atoms and distances in Å follow each position.
Space group R-3m (No. 166, hexagonal axes)
Symmetry-distinct sites (fractional):
Ca (0.0000, 0.0000, 0.0000) [3 per cell]  18 Cu 2.94-3.28
Sc (0.0000, 0.0000, 0.1442) [6 per cell]  12 Cu 2.93-2.99, 3 Sc 3.14
Cu (0.0000, 0.0000, 0.3329) [6 per cell]  6 Cu 2.52-2.55
Cu (0.0000, 0.0000, 0.5000) [3 per cell]  6 Cu 2.48
Cu (0.0027, 0.5013, 0.9151) [18 per cell]  7 Cu 2.48-2.56

Properties
- Energy of formation from the pure elements: -172 meV/atom



Entry 9:
The following is a DFT calculation (PBE-GGA) of Dy2NiAs3Rh4 after structural relaxation.

Cell lengths 4.1316, 4.1316, 10.2075 Å; angles 90.00, 90.00, 90.00 degrees
Closest atoms and distances in Å follow each position.
Space group P-4m2 (No. 115)
Symmetry-distinct sites (fractional):
Dy (0.0000, 0.5000, 0.2368) [2 per cell]  8 Rh 3.12-3.39, 6 As 3.18-3.19, 2 Ni 3.18
Ni (0.5000, 0.5000, 0.0000) [1 per cell]  4 Rh 2.46
As (0.0000, 0.0000, 0.0000) [1 per cell]  4 Rh 2.46
As (0.0000, 0.5000, 0.6385) [2 per cell]  5 Rh 2.36-2.50
Rh (0.0000, 0.0000, 0.5000) [1 per cell]  4 As 2.50
Rh (0.0000, 0.5000, 0.8693) [2 per cell]  3 As 2.36-2.46, 2 Ni 2.46
Rh (0.5000, 0.5000, 0.5000) [1 per cell]  4 As 2.50

Properties
- Energy of formation from the pure elements: -817 meV/atom